{"formula": "Mn2RhO4", "functional": "PBE+U", "state": "relaxed", "lattice": [[-5.6667, -1.7552, -1.2735], [1.1104, -5.4093, 2.5141], [0.8802, 5.1696, 3.4125]], "species": ["O", "Mn", "O", "O", "Mn", "Rh", "O", "O", "Mn", "Rh", "O", "O", "Mn", "O"], "frac_coords": [[0.3631, 0.6383, 0.2767], [0.1250, 0.8750, 0.7500], [0.9136, 0.6383, 0.2767], [0.3617, 0.6369, 0.7233], [0.6250, 0.8750, 0.7500], [0.7500, 0.2500, 0.5000], [0.8869, 0.1117, 0.2233], [0.3364, 0.1117, 0.2233], [0.1250, 0.3750, 0.2500], [0.5000, 0.5000, 0.0000], [0.8883, 0.6636, 0.7767], [0.3617, 0.0864, 0.7233], [0.1250, 0.8750, 0.2500], [0.8883, 0.1131, 0.7767]], "e_above_lowest_polymorph_mev_per_atom": 223, "space_group": "I4_1/amd (141)", "e_tot_ev_per_atom": -7.11}